(1)
The following is a GGA-PBE calculation of a geometry-optimized HgMo3 structure, from Alexandria.

Unit cell a=2.8392 b=2.8392 c=9.8324 alpha=90.00 beta=90.00 gamma=120.00
With the nearest neighbours (Å) after each atom.
Atoms (fractional coordinates):
Mo (0.3333, 0.6667, 0.7383)  9 Mo 2.84-2.86, 3 Hg 3.05
Mo (0.3333, 0.6667, 0.2617)  9 Mo 2.84-2.86, 3 Hg 3.05
Mo (0.0000, 0.0000, 0.5000)  12 Mo 2.84-2.86
Hg (0.0000, 0.0000, 0.0000)  6 Hg 2.84, 6 Mo 3.05

Energy relative to the elements = 0.54 eV/atom
Crystal system = hexagonal
Total magnetization = 0.000 μB/cell
VASP energy = -0.28138 hartree per atom
Space-group type = No. 187
Relative energy among the computed polymorphs = 223 meV per atom

(2)
The following is a GGA-PBE calculation of a geometry-optimized SrCa2Pr structure, from Alexandria.

Unit cell a=3.8363 b=3.8363 c=13.4984 alpha=90.00 beta=90.00 gamma=120.00
With the nearest neighbours (Å) after each atom.
Atoms (fractional coordinates):
Ca (0.3333, 0.6667, 0.7537)  3 Pr 3.79, 6 Ca 3.84, 3 Sr 4.08
Ca (0.6667, 0.3333, 0.2581)  1 Pr 3.61, 6 Ca 3.84, 3 Sr 4.04
Pr (0.6667, 0.3333, 0.5256)  4 Ca 3.61-3.79, 6 Pr 3.84
Sr (0.0000, 0.0000, 0.0077)  6 Sr 3.84, 6 Ca 4.04-4.08

Energy relative to the elements = 0.14 eV/atom
Crystal system = trigonal
Total magnetization = 0.108 μB/cell
VASP energy = -0.09092 hartree per atom
Space-group type = No. 156
Relative energy among the computed polymorphs = 79 meV per atom

(3)
The following is a GGA-PBE calculation of a geometry-optimized Ce2HoSn structure, from Alexandria.

Unit cell a=4.4477 b=4.3577 c=11.4874 alpha=90.00 beta=99.97 gamma=90.00
With the nearest neighbours (Å) after each atom.
Atoms (fractional coordinates):
Ho (0.6952, 0.7500, 0.3898)  5 Sn 3.13-3.20
Ho (0.3048, 0.2500, 0.6102)  5 Sn 3.13-3.20
Ce (0.3977, 0.7500, 0.8840)  2 Ce 2.81
Ce (0.9974, 0.2500, 0.8820)  2 Ce 2.81
Ce (0.0026, 0.7500, 0.1180)  2 Ce 2.81
Ce (0.6023, 0.2500, 0.1160)  2 Ce 2.81
Sn (0.8235, 0.7500, 0.6662)  5 Ho 3.13-3.20, 4 Ce 3.25-3.39
Sn (0.1765, 0.2500, 0.3338)  5 Ho 3.13-3.20, 4 Ce 3.25-3.39

Energy relative to the elements = -0.40 eV/atom
Crystal system = monoclinic
Total magnetization = 0.000 μB/cell
VASP energy = -0.20263 hartree per atom
Space-group type = No. 11
Relative energy among the computed polymorphs = 0 meV per atom

(4)
The following is a GGA-PBE calculation of a geometry-optimized Pu2GaIr structure, from Alexandria.

Unit cell a=2.8985 b=2.8985 c=11.2240 alpha=82.58 beta=82.58 gamma=60.00
With the nearest neighbours (Å) after each atom.
Atoms (fractional coordinates):
Ir (0.5000, 0.5000, 0.5000)  6 Ir 2.90, 6 Pu 3.01
Pu (0.0916, 0.0916, 0.7251)  6 Pu 2.90, 3 Ir 3.01, 1 Ga 3.05
Pu (0.9084, 0.9084, 0.2749)  6 Pu 2.90, 3 Ir 3.01, 1 Ga 3.05
Ga (0.0000, 0.0000, 0.0000)  6 Ga 2.90, 2 Pu 3.05

Energy relative to the elements = 0.13 eV/atom
Crystal system = trigonal
Total magnetization = 9.463 μB/cell
VASP energy = -0.36779 hartree per atom
Space-group type = No. 166

(5)
The following is a GGA-PBE calculation of a geometry-optimized SrMn2CdBr structure, from Alexandria.

Unit cell a=6.2086 b=6.2086 c=6.5384 alpha=90.00 beta=90.00 gamma=90.00
With the nearest neighbours (Å) after each atom.
Atoms (fractional coordinates):
Mn (0.5000, 0.0000, 0.0000)  2 Sr 3.10
Mn (0.0000, 0.5000, 0.0000)  2 Sr 3.10
Cd (0.0000, 0.0000, 0.5000)  2 Sr 3.27
Br (0.5000, 0.5000, 0.5000)  4 Cd 4.39, 8 Mn 4.51
Sr (0.0000, 0.0000, 0.0000)  4 Mn 3.10, 2 Cd 3.27

Uncorrected formation energy = 1.190 eV/atom
Crystal system = tetragonal
Total magnetization = 9.181 μB/cell
VASP energy = -0.12242 hartree per atom
Space-group type = No. 123

(6)
The following is a GGA-PBE calculation of a geometry-optimized Ho4Er15Sc structure, from Alexandria.

Unit cell a=4.9486 b=4.9486 c=24.7097 alpha=90.00 beta=90.00 gamma=90.00
With the nearest neighbours (Å) after each atom.
Atoms (fractional coordinates):
Er (0.5000, 0.5000, 0.8021)  4 Ho 3.50, 8 Er 3.51
Er (0.0000, 0.5000, 0.9029)  2 Sc 3.45, 8 Er 3.45-3.51, 2 Ho 3.52
Er (0.0000, 0.5000, 0.7014)  8 Er 3.50-3.51, 4 Ho 3.50-3.51
Er (0.5000, 0.5000, 0.3994)  4 Ho 3.50, 8 Er 3.51
Er (0.5000, 0.0000, 0.9029)  8 Er 3.45-3.51, 2 Sc 3.45, 2 Ho 3.52
Er (0.5000, 0.5000, 0.0000)  8 Er 3.45, 4 Sc 3.50
Er (0.0000, 0.5000, 0.2986)  8 Er 3.50-3.51, 4 Ho 3.50-3.51
Er (0.5000, 0.5000, 0.6006)  4 Ho 3.50, 8 Er 3.51
Er (0.0000, 0.5000, 0.0971)  2 Sc 3.45, 8 Er 3.45-3.51, 2 Ho 3.52
Er (0.0000, 0.5000, 0.5000)  8 Er 3.50-3.51, 4 Ho 3.51
Er (0.5000, 0.0000, 0.7014)  8 Er 3.50-3.51, 4 Ho 3.50-3.51
Er (0.5000, 0.0000, 0.5000)  8 Er 3.50-3.51, 4 Ho 3.51
Er (0.5000, 0.0000, 0.2986)  8 Er 3.50-3.51, 4 Ho 3.50-3.51
Er (0.5000, 0.5000, 0.1979)  4 Ho 3.50, 8 Er 3.51
Er (0.5000, 0.0000, 0.0971)  8 Er 3.45-3.51, 2 Sc 3.45, 2 Ho 3.52
Ho (0.0000, 0.0000, 0.3994)  12 Er 3.50-3.51
Ho (0.0000, 0.0000, 0.6006)  12 Er 3.50-3.51
Ho (0.0000, 0.0000, 0.1984)  12 Er 3.50-3.52
Ho (0.0000, 0.0000, 0.8016)  12 Er 3.50-3.52
Sc (0.0000, 0.0000, 0.0000)  12 Er 3.45-3.50

Energy relative to the elements = 0.03 eV/atom
Crystal system = tetragonal
Total magnetization = 0.000 μB/cell
VASP energy = -0.17007 hartree per atom
Space-group type = No. 123

(7)
The following is a GGA-PBE calculation of a geometry-optimized Zn2Fe2Hg structure, from Alexandria.

Unit cell a=7.3166 b=7.3166 c=2.8168 alpha=90.00 beta=90.00 gamma=90.00
With the nearest neighbours (Å) after each atom.
Atoms (fractional coordinates):
Fe (0.3860, 0.8860, 0.0000)  1 Fe 2.36, 6 Zn 2.57-2.60
Fe (0.1140, 0.3860, 0.0000)  1 Fe 2.36, 6 Zn 2.57-2.60
Fe (0.8860, 0.6140, 0.0000)  1 Fe 2.36, 6 Zn 2.57-2.60
Fe (0.6140, 0.1140, 0.0000)  1 Fe 2.36, 6 Zn 2.57-2.60
Zn (0.3219, 0.1781, 0.5000)  6 Fe 2.57-2.60, 2 Zn 2.82
Zn (0.1781, 0.6781, 0.5000)  6 Fe 2.57-2.60, 2 Zn 2.82
Zn (0.8219, 0.3219, 0.5000)  6 Fe 2.57-2.60, 2 Zn 2.82
Zn (0.6781, 0.8219, 0.5000)  6 Fe 2.57-2.60, 2 Zn 2.82
Hg (0.5000, 0.5000, 0.0000)  2 Hg 2.82, 4 Fe 2.94, 8 Zn 3.04
Hg (0.0000, 0.0000, 0.0000)  2 Hg 2.82, 4 Fe 2.94, 8 Zn 3.04

Energy relative to the elements = 0.24 eV/atom
Crystal system = tetragonal
Total magnetization = 9.419 μB/cell
VASP energy = -0.13644 hartree per atom
Space-group type = No. 127
Relative energy among the computed polymorphs = 0 meV per atom

(8)
The following is a GGA-PBE calculation of a geometry-optimized TaIBr2 structure, from Alexandria.

Unit cell a=10.5388 b=10.5388 c=11.7693 alpha=87.60 beta=87.60 gamma=93.87
With the nearest neighbours (Å) after each atom.
Atoms (fractional coordinates):
Ta (0.8087, 0.2675, 0.8717)  3 Br 2.58-2.66, 1 Ta 2.69, 2 I 2.76-2.86
Ta (0.1913, 0.7325, 0.1283)  3 Br 2.58-2.66, 1 Ta 2.69, 2 I 2.76-2.86
Ta (0.7502, 0.4562, 0.7264)  4 Br 2.57-2.68, 1 Ta 2.69, 1 I 2.87
Ta (0.2498, 0.5438, 0.2736)  4 Br 2.57-2.68, 1 Ta 2.69, 1 I 2.87
Ta (0.7325, 0.1913, 0.6283)  3 Br 2.58-2.66, 1 Ta 2.69, 2 I 2.76-2.86
Ta (0.2675, 0.8087, 0.3717)  3 Br 2.58-2.66, 1 Ta 2.69, 2 I 2.76-2.86
Ta (0.4562, 0.7502, 0.2264)  4 Br 2.57-2.68, 1 Ta 2.69, 1 I 2.87
Ta (0.5438, 0.2498, 0.7736)  4 Br 2.57-2.68, 1 Ta 2.69, 1 I 2.87
I (0.1917, 0.9455, 0.5543)  1 Ta 2.76
I (0.7595, 0.5079, 0.9633)  2 Ta 2.86-2.87
I (0.0545, 0.8083, 0.9457)  1 Ta 2.76
I (0.4921, 0.2405, 0.5367)  2 Ta 2.86-2.87
I (0.2405, 0.4921, 0.0367)  2 Ta 2.86-2.87
I (0.5079, 0.7595, 0.4633)  2 Ta 2.86-2.87
I (0.8083, 0.0545, 0.4457)  1 Ta 2.76
I (0.9455, 0.1917, 0.0543)  1 Ta 2.76
Br (0.6008, 0.1765, 0.9782)  2 Ta 2.58-2.61
Br (0.3081, 0.2097, 0.8376)  1 Ta 2.57
Br (0.5094, 0.4906, 0.7500)  2 Ta 2.59
Br (0.6919, 0.7903, 0.1624)  1 Ta 2.57
Br (0.2097, 0.3081, 0.3376)  1 Ta 2.57
Br (0.3992, 0.8235, 0.0218)  2 Ta 2.58-2.61
Br (0.1765, 0.6008, 0.4782)  2 Ta 2.58-2.61
Br (0.4906, 0.5094, 0.2500)  2 Ta 2.59
Br (0.0071, 0.5767, 0.2282)  2 Ta 2.66-2.68
Br (0.9929, 0.4233, 0.7718)  2 Ta 2.66-2.68
Br (0.4233, 0.9929, 0.2718)  2 Ta 2.66-2.68
Br (0.7903, 0.6919, 0.6624)  1 Ta 2.57
Br (0.8235, 0.3992, 0.5218)  2 Ta 2.58-2.61
Br (0.9049, 0.0951, 0.7500)  2 Ta 2.59
Br (0.0951, 0.9049, 0.2500)  2 Ta 2.59
Br (0.5767, 0.0071, 0.7282)  2 Ta 2.66-2.68

Uncorrected formation energy = -0.622 eV/atom
Crystal system = monoclinic
Total magnetization = 3.743 μB/cell
VASP energy = -0.17673 hartree per atom
Space-group type = No. 15
Relative energy among the computed polymorphs = 0 meV per atom

(9)
The following is a GGA-PBE calculation of a geometry-optimized Ce2NdNbN4 structure, from Alexandria.

Unit cell a=3.5179 b=6.2975 c=11.9915 alpha=90.00 beta=90.00 gamma=106.22
With the nearest neighbours (Å) after each atom.
Atoms (fractional coordinates):
Nb (0.8587, 0.7175, 0.7500)  4 N 2.07-2.10
Nb (0.1413, 0.2825, 0.2500)  4 N 2.07-2.10
Ce (0.6317, 0.2633, 0.0385)  5 N 2.38-2.60
Ce (0.6317, 0.2633, 0.4615)  5 N 2.38-2.60
Ce (0.3683, 0.7367, 0.9615)  5 N 2.38-2.60
Ce (0.3683, 0.7367, 0.5385)  5 N 2.38-2.60
N (0.7373, 0.4746, 0.6285)  1 Nb 2.07
N (0.0000, 0.0000, 0.5000)  4 Ce 2.42
N (0.2627, 0.5254, 0.3715)  1 Nb 2.07
N (0.4535, 0.9070, 0.7500)  2 Nb 2.10
N (0.0000, 0.0000, 0.0000)  4 Ce 2.42
N (0.5465, 0.0930, 0.2500)  2 Nb 2.10
N (0.2627, 0.5254, 0.1285)  1 Nb 2.07
N (0.7373, 0.4746, 0.8715)  1 Nb 2.07
Nd (0.1239, 0.2479, 0.7500)  6 N 2.66-2.71
Nd (0.8761, 0.7521, 0.2500)  6 N 2.66-2.71

Uncorrected formation energy = -1.146 eV/atom
Crystal system = orthorhombic
Total magnetization = 0.001 μB/cell
VASP energy = -0.31775 hartree per atom
Space-group type = No. 63

(10)
The following is a GGA-PBE calculation of a geometry-optimized Sm4Y9Tl11 structure, from Alexandria.

Unit cell a=3.5968 b=14.1312 c=14.1312 alpha=109.33 beta=90.00 gamma=90.00
With the nearest neighbours (Å) after each atom.
Atoms (fractional coordinates):
Sm (0.5000, 0.4142, 0.2511)  6 Tl 3.29-3.42, 3 Y 3.32-3.66, 2 Sm 3.60
Sm (0.5000, 0.5858, 0.7489)  6 Tl 3.29-3.42, 3 Y 3.32-3.66, 2 Sm 3.60
Sm (0.5000, 0.2511, 0.4142)  6 Tl 3.29-3.42, 3 Y 3.32-3.66, 2 Sm 3.60
Sm (0.5000, 0.7489, 0.5858)  6 Tl 3.29-3.42, 3 Y 3.32-3.66, 2 Sm 3.60
Tl (0.0000, 0.6242, 0.3758)  6 Y 3.38-3.52, 4 Sm 3.42, 2 Tl 3.60
Tl (0.0000, 0.5900, 0.9511)  3 Tl 3.27-3.60, 6 Y 3.31-3.36, 2 Sm 3.36
Tl (0.0000, 0.0000, 0.0000)  8 Y 3.34, 4 Tl 3.42-3.60
Tl (0.0000, 0.2091, 0.2091)  4 Y 3.26, 4 Sm 3.29, 3 Tl 3.42-3.60
Tl (0.0000, 0.1868, 0.8132)  8 Y 3.25-3.31, 2 Tl 3.60
Tl (0.0000, 0.4100, 0.0489)  3 Tl 3.27-3.60, 6 Y 3.31-3.36, 2 Sm 3.36
Tl (0.0000, 0.7909, 0.7909)  4 Y 3.26, 4 Sm 3.29, 3 Tl 3.42-3.60
Tl (0.0000, 0.8132, 0.1868)  8 Y 3.25-3.31, 2 Tl 3.60
Tl (0.0000, 0.9511, 0.5900)  3 Tl 3.27-3.60, 6 Y 3.31-3.36, 2 Sm 3.36
Tl (0.0000, 0.0489, 0.4100)  3 Tl 3.27-3.60, 6 Y 3.31-3.36, 2 Sm 3.36
Tl (0.0000, 0.3758, 0.6242)  6 Y 3.38-3.52, 4 Sm 3.42, 2 Tl 3.60
Y (0.5000, 0.3862, 0.8417)  8 Tl 3.25-3.52, 1 Sm 3.48, 2 Y 3.60
Y (0.5000, 0.0150, 0.2034)  8 Tl 3.26-3.34, 3 Y 3.57-3.60
Y (0.5000, 0.9850, 0.7966)  8 Tl 3.26-3.34, 3 Y 3.57-3.60
Y (0.5000, 0.2034, 0.0150)  8 Tl 3.26-3.34, 3 Y 3.57-3.60
Y (0.5000, 0.5000, 0.5000)  4 Sm 3.32, 4 Tl 3.38, 2 Y 3.60
Y (0.5000, 0.1583, 0.6138)  8 Tl 3.25-3.52, 1 Sm 3.48, 2 Y 3.60
Y (0.5000, 0.8417, 0.3862)  8 Tl 3.25-3.52, 1 Sm 3.48, 2 Y 3.60
Y (0.5000, 0.6138, 0.1583)  8 Tl 3.25-3.52, 1 Sm 3.48, 2 Y 3.60
Y (0.5000, 0.7966, 0.9850)  8 Tl 3.26-3.34, 3 Y 3.57-3.60

Energy relative to the elements = -0.30 eV/atom
Crystal system = orthorhombic
Total magnetization = 0.014 μB/cell
VASP energy = -0.16875 hartree per atom
Space-group type = No. 65